This record from Alexandria via LeMat-Bulk describes crystalline Hf3IrO at its relaxed geometry. The functional is PBE.

Geometry as POSCAR:
```
Hf3IrO
1.0
2.957 0.000 0.000
0.000 3.162 7.593
0.000 -3.162 7.593
Hf Ir O
3 1 1
direct
0.000 0.000 0.000
0.500 0.097 0.613
0.500 0.613 0.097
0.500 0.225 0.225
0.000 0.132 0.132
```

## Properties
Its space-group type is Amm2, No. 38. For the formation energy without anion corrections, the calculation gives 0.1836 eV/atom.

=====

This record from Alexandria via LeMat-Bulk describes crystalline HfPIrO2 at its relaxed geometry. The functional is PBE.

Geometry as POSCAR:
```
HfPIrO2
1.0
3.880 0.000 0.000
0.000 3.880 0.000
0.000 0.000 4.825
Hf P Ir O
1 1 1 2
direct
0.000 0.000 0.000
0.500 0.500 0.000
0.500 0.500 0.500
0.000 0.500 0.500
0.500 0.000 0.500
```

## Properties
The value obtained for the energy relative to the lowest polymorph listed for this composition is 436 meV per atom. Its space-group type is P4/mmm, No. 123. For the formation energy without anion corrections, the calculation gives -0.3592 eV/atom.

=====

This record from Alexandria via LeMat-Bulk describes crystalline HfPIrO2 at its relaxed geometry. The functional is PBE.

Geometry as POSCAR:
```
HfPIrO2
1.0
3.887 0.000 0.000
0.000 3.887 0.000
0.000 0.000 5.720
Hf P Ir O
1 1 1 2
direct
0.000 0.000 0.000
0.000 0.000 0.500
0.500 0.500 0.500
0.000 0.500 0.000
0.500 0.000 0.000
```

## Properties
The value obtained for the energy relative to the lowest polymorph listed for this composition is 0 meV per atom. Its space-group type is P4/mmm, No. 123. For the formation energy without anion corrections, the calculation gives -0.7952 eV/atom.

=====

This record from Alexandria via LeMat-Bulk describes crystalline HfIrPbO6 at its relaxed geometry. The functional is PBE.

Geometry as POSCAR:
```
HfIrPbO6
1.0
-3.623 3.712 5.448
3.623 -3.712 5.448
3.623 3.712 -5.448
Hf Ir Pb O
2 2 2 12
direct
0.000 0.000 0.000
0.500 0.000 0.500
0.500 0.000 0.000
0.500 0.500 0.500
0.027 0.277 0.750
0.973 0.723 0.250
0.175 0.925 0.250
0.194 0.329 0.250
0.194 0.944 0.865
0.422 0.056 0.750
0.422 0.671 0.365
0.437 0.687 0.750
0.563 0.313 0.250
0.578 0.329 0.635
0.578 0.944 0.250
0.806 0.056 0.135
0.806 0.671 0.750
0.825 0.075 0.750
```

## Properties
Its space-group type is Imma, No. 74. For the formation energy without anion corrections, the calculation gives -1.5265 eV/atom.

=====

| no. | D(E_F) (states/eV per atom) |
| --- | --- |
| 1 | 0.914 |
| 2 | 0.926 |
| 3 | 1.136 |
| 4 | 0.255 |